[1]
Computed, not measured: a relaxed Li2TaPb crystal at the PBE level of DFT.

Structure (POSCAR):
```
Li2TaPb
1.0
3.1462 0.0000 0.0000
0.0000 4.9445 0.0000
0.0000 0.0000 4.9647
Pb Ta Li
1 1 2
Cartesian
1.5731 0.0000 2.4824
0.0000 2.4722 2.4824
1.5731 2.4722 0.0000
0.0000 0.0000 0.0000
```

Computed properties:
**DOS at the Fermi energy**: 2.65 states/eV per cell
**Density**: 8.644 g cm⁻³
**Electronic total energy**: -4.54 eV/atom
**DFT formation energy**: 0.312 eV/atom

[2]
Computed, not measured: a relaxed BaNdHgBi crystal at the PBE level of DFT.

Structure (POSCAR):
```
BaNdHgBi
1.0
-3.8904 -2.1790 -3.6524
-2.8301 -4.8360 1.3515
-5.6110 0.2125 1.3017
Bi Ba Nd Hg
1 1 1 1
Cartesian
-3.0829 -1.7006 -0.2498
-6.1658 -3.4013 -0.4996
0.0000 0.0000 0.0000
-9.2486 -5.1019 -0.7494
```

Computed properties:
**DOS at the Fermi energy**: 4.51 states/eV per cell
**Density**: 8.476 g cm⁻³
**Electronic total energy**: -3.26 eV/atom
**DFT formation energy**: -0.541 eV/atom

[3]
Computed, not measured: a relaxed MnAs crystal at the PBE level of DFT.

Structure (POSCAR):
```
MnAs
1.0
-6.7746 -1.1051 2.6201
2.4935 -5.5631 4.1007
1.3671 4.6703 5.5046
As Mn
8 8
Cartesian
1.0196 -3.8603 4.8514
-4.7907 -1.0655 3.9232
-2.3704 -1.6252 9.9449
0.3135 2.5553 5.7315
-0.9134 -0.6262 3.8322
-2.9308 0.7039 6.8634
-2.5106 -3.1140 6.3396
0.5269 -0.9593 7.4157
-2.8129 -1.0260 5.2222
-4.4001 2.4014 7.6117
2.5046 -0.9198 8.7147
-1.8285 -1.2536 7.6714
-0.4497 -2.1627 5.5997
-3.5610 -5.2226 6.5658
-0.7369 0.4467 5.9577
-0.3715 -0.2547 1.5587
```

Computed properties:
**DOS at the Fermi energy**: 12.57 states/eV per cell
**Density**: 4.350 g cm⁻³
**Electronic total energy**: -6.78 eV/atom
**DFT formation energy**: 0.126 eV/atom

[4]
Computed, not measured: a relaxed SbOsPt crystal at the PBE level of DFT.

Structure (POSCAR):
```
SbOsPt
1.0
5.0021 -0.0016 0.0008
2.5304 4.3149 -0.0008
-3.4239 -2.7545 2.3897
Pt Os Sb
1 1 1
Cartesian
2.5551 1.4631 0.0000
7.5190 4.3055 0.0000
4.9910 2.8579 0.0000
```

Computed properties:
**DOS at the Fermi energy**: 4.39 states/eV per cell
**Raw formation energy**: 0.53 eV per atom
**Density**: 16.324 g cm⁻³
**Electronic total energy**: -6.61 eV/atom
**E above lowest polymorph**: 0.2936 eV per atom

[5]
Computed, not measured: a relaxed Pm8GeAs4Se3 crystal at the PBE level of DFT.

Structure (POSCAR):
```
Pm8GeAs4Se3
1.0
-6.2227 -5.6130 1.1746
5.7334 -6.1042 1.2039
0.2781 7.0484 4.6740
Pm As Se Ge
8 4 3 1
Cartesian
-0.3790 -8.8110 1.8193
-0.0258 0.6312 2.8797
-2.9863 1.2971 5.8286
2.7751 -5.9659 1.2239
0.1679 4.1422 5.2332
2.9122 -2.4901 3.5289
-3.1234 -2.1787 3.5237
-0.1854 -5.3000 4.1728
-3.1113 -2.8065 0.5873
-2.9723 0.7177 2.9243
0.1391 3.5242 2.3370
0.0000 0.0000 0.0000
-0.1056 -2.3344 3.5263
3.0058 0.4721 2.9390
-0.2446 -5.8586 1.1893
2.8667 -3.0521 0.6020
```

Computed properties:
**DOS at the Fermi energy**: 2.45 states/eV per cell
**Raw formation energy**: -1.63 eV per atom
**Density**: 6.859 g cm⁻³
**Electronic total energy**: -6.11 eV/atom

[6]
Computed, not measured: a relaxed FeCuNi4 crystal at the PBE level of DFT.

Structure (POSCAR):
```
FeCuNi4
1.0
4.3212 0.0000 -0.0097
0.0000 6.4355 0.0000
-1.2769 -3.2178 5.1643
Ni Fe Cu
8 2 2
Cartesian
2.1791 0.0000 3.3726
0.9184 2.0129 3.8799
2.1259 5.2306 1.2747
2.1259 1.2049 1.2747
0.9184 -2.0129 3.8799
0.0000 1.2357 0.0000
0.8652 3.2178 1.7820
0.0000 5.1998 0.0000
3.1608 3.2178 0.6061
-0.1165 0.0000 4.5484
3.0439 3.2178 3.0405
0.0004 0.0000 2.1141
```

Computed properties:
**DOS at the Fermi energy**: 14.01 states/eV per cell
**Density**: 8.195 g cm⁻³
**Electronic total energy**: -5.73 eV/atom
**E above lowest polymorph**: 0.2202 eV per atom
**DFT formation energy**: 0.213 eV/atom

[7]
Computed, not measured: a relaxed Li3LaS crystal at the PBE level of DFT.

Structure (POSCAR):
```
Li3LaS
1.0
-0.8900 2.9624 -3.6080
-1.9523 -3.5726 -2.4517
-4.2405 1.0231 1.8860
Li S La
3 1 1
Cartesian
-0.9762 -1.7863 -1.2258
-0.4450 1.4812 -1.8040
-2.1203 0.5115 0.9430
0.0000 0.0000 0.0000
-3.5414 0.2064 -2.0869
```

Computed properties:
**DOS at the Fermi energy**: 4.07 states/eV per cell
**Raw formation energy**: -0.32 eV per atom
**Density**: 2.967 g cm⁻³
**Electronic total energy**: -3.28 eV/atom
**E above lowest polymorph**: 0.0000 eV per atom

[8]
Computed, not measured: a relaxed PaPd crystal at the PBE level of DFT.

Structure (POSCAR):
```
PaPd
1.0
-1.4993 -0.9469 -3.6875
2.4859 -1.4502 -2.9085
-0.2687 -3.9160 -1.1553
Pa Pd
1 1
Cartesian
0.0000 0.0000 0.0000
0.3590 -3.1565 -3.8756
```

Computed properties:
**DOS at the Fermi energy**: 5.86 states/eV per cell
**Density**: 11.568 g cm⁻³
**Electronic total energy**: -7.54 eV/atom
**DFT formation energy**: -0.196 eV/atom

- Among the records above, which one has the highest density?
  SbOsPt

- The lowest electronic total energy belongs to which entry?
  PaPd